# CdCu4Se

Crystalline CdCu4Se at its relaxed geometry (PBE-GGA, Alexandria via LeMat-Bulk).

a b c (Å): 5.037 5.037 5.037
angles (deg): 60.00 60.00 60.00
Positions (direct):
Cd 0.000 0.000 0.000
Cu 0.124 0.625 0.625
Cu 0.625 0.124 0.625
Cu 0.625 0.625 0.124
Cu 0.625 0.625 0.625
Se 0.250 0.250 0.250

Computed properties:
* ΔE_f (raw): 0.11 eV/atom
* E_tot: -20.1 eV per cell

# CsMnAs

Crystalline CsMnAs at its relaxed geometry (PBE-GGA, Alexandria via LeMat-Bulk).

a b c (Å): 4.285 4.285 11.860
angles (deg): 90.00 90.00 90.00
Positions (direct):
Cs 0.250 0.250 0.217
Cs 0.750 0.750 0.783
Mn 0.250 0.750 0.500
Mn 0.750 0.250 0.500
As 0.250 0.250 0.607
As 0.750 0.750 0.393

Computed properties:
* E_tot: -30.9 eV per cell

# Fe8Se7

Crystalline Fe8Se7 at its relaxed geometry (PBE-GGA, Alexandria via LeMat-Bulk).

a b c (Å): 7.282 7.282 6.076
angles (deg): 90.00 90.00 90.00
Positions (direct):
Fe 0.000 0.238 0.000
Fe 0.000 0.762 0.000
Fe 0.238 0.000 0.000
Fe 0.255 0.500 0.994
Fe 0.500 0.255 0.994
Fe 0.500 0.745 0.994
Fe 0.745 0.500 0.994
Fe 0.762 0.000 0.000
Se 0.000 0.500 0.749
Se 0.252 0.252 0.247
Se 0.252 0.748 0.247
Se 0.500 0.000 0.749
Se 0.500 0.500 0.731
Se 0.748 0.252 0.247
Se 0.748 0.748 0.247

Computed properties:
* ΔE_f (raw): -0.15 eV/atom
* E_tot: -94.3 eV per cell

# P2HIrS

Crystalline P2HIrS at its relaxed geometry (PBE-GGA, Alexandria via LeMat-Bulk).

a b c (Å): 4.501 4.501 5.122
angles (deg): 90.00 90.00 90.00
Positions (direct):
P 0.000 0.500 0.000
P 0.500 0.000 0.000
H 0.000 0.000 0.500
Ir 0.500 0.500 0.000
S 0.500 0.500 0.500

Computed properties:
* energy relative to the lowest polymorph listed for this composition: 291 meV/atom
* E_tot: -21.5 eV per cell

Record-wise theoretical density values, in g cm⁻³: 8.190, 4.007, 5.151, 4.597